DFT (PBEsol) results for an optimized crystal structure of TaCdIrN2.

Cell and atoms, written as POSCAR:
```
TaCdIrN2
1.0
-2.8847 -0.6000 -2.5513
-2.5083 -0.4680 2.9462
-1.0983 5.5246 -0.0574
Cd N Ir Ta
1 2 1 1
Direct
0.0000 0.0000 0.0000
0.0000 0.5000 0.0000
0.5000 0.0000 0.0000
0.5000 0.5000 0.5000
0.0000 0.0000 0.5000
```

Summary:
Size of the total moment, μB per atom: 0.47
Formation energy from raw total energies, eV per atom: 2.5050
Density of states at the Fermi level, states/eV per atom: 0.692
Total energy, eV/cell: -28.1